# 1
Density functional theory data (PBE) for an optimized crystal structure of TaP2N.

Properties
Final energy (eV for the cell shown): -57.448
Space-group type: P6_3/mmc
Magnetization (μB/f.u.): 0.00
Crystal system: hexagonal

Unit cell a=2.9458 b=2.9458 c=13.2554 alpha=90.00 beta=90.00 gamma=120.00
With the nearest neighbours (Å) after each atom.
Element x y z (fractional)
1 P 0.6667 0.3333 0.8978  3 N 2.17
2 P 0.3333 0.6667 0.1022  3 N 2.17
3 P 0.3333 0.6667 0.3978  3 N 2.17
4 P 0.6667 0.3333 0.6022  3 N 2.17
5 Ta 0.6667 0.3333 0.2500  6 P 2.59
6 Ta 0.3333 0.6667 0.7500  6 P 2.59
7 N 0.0000 0.0000 0.5000  6 P 2.17
8 N 0.0000 0.0000 0.0000  6 P 2.17

---

# 2
Density functional theory data (PBE) for an optimized crystal structure of Ta4PN3.

Properties
Final energy (eV for the cell shown): -168.463
Space-group type: P6_3/mmc
Magnetization (μB/f.u.): 0.00
Crystal system: hexagonal

Unit cell a=3.1315 b=3.1315 c=22.3710 alpha=90.00 beta=90.00 gamma=120.00
With the nearest neighbours (Å) after each atom.
Element x y z (fractional)
1 Ta 0.6667 0.3333 0.9455  6 N 2.18-2.22
2 Ta 0.0000 0.0000 0.6724  3 N 2.25, 3 P 2.51
3 Ta 0.3333 0.6667 0.4455  6 N 2.18-2.22
4 Ta 0.6667 0.3333 0.5545  6 N 2.18-2.22
5 Ta 0.0000 0.0000 0.8276  3 N 2.25, 3 P 2.51
6 Ta 0.0000 0.0000 0.3276  3 N 2.25, 3 P 2.51
7 Ta 0.3333 0.6667 0.0545  6 N 2.18-2.22
8 Ta 0.0000 0.0000 0.1724  3 N 2.25, 3 P 2.51
9 N 0.3333 0.6667 0.6123  6 Ta 2.22-2.25
10 N 0.0000 0.0000 0.0000  6 Ta 2.18
11 N 0.6667 0.3333 0.1123  6 Ta 2.22-2.25
12 N 0.6667 0.3333 0.3877  6 Ta 2.22-2.25
13 N 0.0000 0.0000 0.5000  6 Ta 2.18
14 N 0.3333 0.6667 0.8877  6 Ta 2.22-2.25
15 P 0.6667 0.3333 0.7500  6 Ta 2.51
16 P 0.3333 0.6667 0.2500  6 Ta 2.51

---

# 3
Density functional theory data (PBE) for an optimized crystal structure of Ta4TlPN2.

Properties
Final energy (eV for the cell shown): -75.963
Space-group type: P-6m2
Magnetization (μB/f.u.): 0.01
Crystal system: hexagonal

Unit cell a=3.2668 b=3.2668 c=12.7009 alpha=90.00 beta=90.00 gamma=120.00
With the nearest neighbours (Å) after each atom.
Element x y z (fractional)
1 N 0.3333 0.6667 0.2302  6 Ta 2.15-2.24
2 N 0.3333 0.6667 0.7698  6 Ta 2.15-2.24
3 P 0.0000 0.0000 0.0000  6 Ta 2.55
4 Ta 0.0000 0.0000 0.6892  3 N 2.15
5 Ta 0.6667 0.3333 0.1354  3 N 2.24
6 Ta 0.0000 0.0000 0.3108  3 N 2.15
7 Ta 0.6667 0.3333 0.8646  3 N 2.24
8 Tl 0.6667 0.3333 0.5000  6 Ta 3.05, 6 Tl 3.27

---

- The lowest final energy belongs to which entry?
  Ta4PN3

---

- Which of these has the lowest final energy?
  Ta4PN3